Record 1
A plane-wave DFT calculation with GGA-PBE was carried out for an optimized crystal structure of Pr2AlNi.

Output
Spin magnetization in μB per formula unit: 0.0
Volume in Å³ per cell: 204.74
VASP energy in Ry per atom: -0.3682
Energy above the lowest structure with this stoichiometry in kcal/mol of atoms: 0.20

a b c (Å): 4.470 4.593 9.972
angles (deg): 90.00 90.00 90.00
Space group Immm (No. 71)
Asymmetric unit:
Pr  0.000  0.000  0.169 x4
Al  0.000  0.000  0.500 x2
Ni  0.000  0.500  0.500 x2

Record 2
A plane-wave DFT calculation with GGA-PBE was carried out for an optimized crystal structure of Pr2Al3Ni4.

Output
Spin magnetization in μB per formula unit: 0.0
Volume in Å³ per cell: 611.28
VASP energy in Ry per atom: -0.3930

a b c (Å): 5.626 15.606 6.962
angles (deg): 90.00 90.00 90.00
Space group Cmce (No. 64)
Asymmetric unit:
Pr  0.000  0.105  0.084 x8
Al  0.000  0.000  0.500 x4
Al  0.250  0.233  0.750 x8
Ni  0.000  0.172  0.492 x8
Ni  0.250  0.073  0.750 x8

Record 3
A plane-wave DFT calculation with GGA-PBE was carried out for an optimized crystal structure of Pr3Al4Ni4.

Output
Spin magnetization in μB per formula unit: 0.0
Volume in Å³ per cell: 431.97
VASP energy in Ry per atom: -0.3801

a b c (Å): 7.559 7.559 7.559
angles (deg): 90.00 90.00 90.00
Space group I-43m (No. 217)
Asymmetric unit:
Pr  0.000  0.000  0.500 x6
Al  0.132  0.132  0.132 x8
Ni  0.187  0.187  0.813 x8

Record 4
A plane-wave DFT calculation with GGA-PBE was carried out for an optimized crystal structure of Pr2AlNi2.

Output
Spin magnetization in μB per formula unit: 0.0
Volume in Å³ per cell: 206.53
VASP energy in Ry per atom: -0.3958

a b c (Å): 4.253 5.509 8.815
angles (deg): 90.00 90.00 90.00
Space group Immm (No. 71)
Asymmetric unit:
Pr  0.000  0.000  0.200 x4
Al  0.000  0.500  0.000 x2
Ni  0.000  0.258  0.500 x4

Record 5
A plane-wave DFT calculation with GGA-PBE was carried out for an optimized crystal structure of PrAlNi3.

Output
Spin magnetization in μB per formula unit: 0.0
Volume in Å³ per cell: 177.02
VASP energy in Ry per atom: -0.3829

a b c (Å): 5.542 7.128 4.481
angles (deg): 90.00 90.00 90.00
Space group Cmmm (No. 65)
Asymmetric unit:
Pr  0.000  0.000  0.000 x2
Al  0.000  0.500  0.500 x2
Ni  0.000  0.500  0.000 x2
Ni  0.250  0.250  0.500 x4

Record 6
A plane-wave DFT calculation with GGA-PBE was carried out for an optimized crystal structure of Pr3AlNi3.

Output
Spin magnetization in μB per formula unit: 0.0
Volume in Å³ per cell: 594.47
VASP energy in Ry per atom: -0.4005
Energy above the lowest structure with this stoichiometry in kcal/mol of atoms: 0.00

a b c (Å): 4.089 10.640 13.666
angles (deg): 90.00 90.00 90.00
Space group Cmcm (No. 63)
Asymmetric unit:
Pr  0.000  0.001  0.250 x4
Pr  0.000  0.280  0.605 x8
Al  0.000  0.000  0.000 x4
Ni  0.000  0.307  0.250 x4
Ni  0.000  0.431  0.087 x8